No. 1
Compound: RbCaY2Tc
Source: Alexandria via LeMat-Bulk
Functional: PBEsol
Structure: optimized geometry

Summary:
Energy of formation, eV per atom: 0.628
Space-group type: P4/mmm (123)

Unit cell a=5.2988 b=5.2988 c=6.2125 alpha=90.00 beta=90.00 gamma=90.00
Closest atoms and distances in Å follow each position.
Element x y z (fractional)
Ca: 0.5000 0.5000 0.5000  4 Rb 3.75, 8 Y 4.08
Rb: 0.0000 0.0000 0.5000  2 Tc 3.11
Y: 0.0000 0.5000 0.0000  2 Tc 2.65
Y: 0.5000 0.0000 0.0000  2 Tc 2.65
Tc: 0.0000 0.0000 0.0000  4 Y 2.65



No. 2
Compound: RbCa3Te
Source: Alexandria via LeMat-Bulk
Functional: PBEsol
Structure: optimized geometry

Summary:
Formation energy from raw total energies, kJ per mole of atoms: -28.4
Space-group type: Pm-3m (221)

Unit cell a=6.1695 b=6.1695 c=6.1695 alpha=90.00 beta=90.00 gamma=90.00
Closest atoms and distances in Å follow each position.
Element x y z (fractional)
Rb: 0.5000 0.5000 0.5000  12 Ca 4.36
Ca: 0.5000 0.0000 0.0000  2 Te 3.08
Ca: 0.0000 0.5000 0.0000  2 Te 3.08
Ca: 0.0000 0.0000 0.5000  2 Te 3.08
Te: 0.0000 0.0000 0.0000  6 Ca 3.08



No. 3
Compound: Rb3CaZr
Source: Alexandria via LeMat-Bulk
Functional: PBEsol
Structure: optimized geometry

Summary:
Energy of formation, eV per atom: 1.149
Space-group type: Pm-3m (221)

Unit cell a=6.8787 b=6.8787 c=6.8787 alpha=90.00 beta=90.00 gamma=90.00
Closest atoms and distances in Å follow each position.
Element x y z (fractional)
Ca: 0.5000 0.5000 0.5000  12 Rb 4.86
Zr: 0.0000 0.0000 0.0000  6 Rb 3.44
Rb: 0.0000 0.0000 0.5000  2 Zr 3.44
Rb: 0.5000 0.0000 0.0000  2 Zr 3.44
Rb: 0.0000 0.5000 0.0000  2 Zr 3.44



No. 4
Compound: CaRe3
Source: Alexandria via LeMat-Bulk
Functional: PBEsol
Structure: optimized geometry

Summary:
Energy above the lowest structure with this stoichiometry, eV per atom: 0.0215
Energy of formation, eV per atom: 0.626
Space-group type: P2/m (10)

Unit cell a=2.6883 b=4.5279 c=5.3326 alpha=90.00 beta=98.83 gamma=90.00
Closest atoms and distances in Å follow each position.
Element x y z (fractional)
Ca: 0.0000 0.0000 0.0000  2 Ca 2.69, 6 Re 2.80-2.81
Re: 0.2733 0.5000 0.7418  6 Re 2.69-2.84, 2 Ca 2.81
Re: 0.5000 0.0000 0.5000  6 Re 2.69-2.72, 2 Ca 2.80
Re: 0.7267 0.5000 0.2582  6 Re 2.69-2.84, 2 Ca 2.81



No. 5
Compound: Ca3Re
Source: Alexandria via LeMat-Bulk
Functional: PBEsol
Structure: optimized geometry

Summary:
Energy above the lowest structure with this stoichiometry, eV per atom: 0.0000
Energy of formation, eV per atom: 0.773
Space-group type: R-3m (166)

Unit cell a=3.3738 b=3.3738 c=11.2768 alpha=81.40 beta=81.40 gamma=60.00
Closest atoms and distances in Å follow each position.
Element x y z (fractional)
Ca: 0.5000 0.5000 0.5000  6 Ca 3.37
Ca: 0.7325 0.7325 0.8025  3 Re 2.93
Ca: 0.2675 0.2675 0.1975  3 Re 2.93
Re: 0.0000 0.0000 0.0000  6 Ca 2.93



No. 6
Compound: Ca3Re
Source: Alexandria via LeMat-Bulk
Functional: PBEsol
Structure: optimized geometry

Summary:
Energy above the lowest structure with this stoichiometry, eV per atom: 0.0402
Energy of formation, eV per atom: 0.813
Space-group type: Pm-3m (221)

Unit cell a=4.6507 b=4.6507 c=4.6507 alpha=90.00 beta=90.00 gamma=90.00
Closest atoms and distances in Å follow each position.
Element x y z (fractional)
Ca: 0.5000 0.5000 0.0000  8 Ca 3.29, 4 Re 3.29
Ca: 0.0000 0.5000 0.5000  8 Ca 3.29, 4 Re 3.29
Ca: 0.5000 0.0000 0.5000  4 Re 3.29, 8 Ca 3.29
Re: 0.0000 0.0000 0.0000  12 Ca 3.29



No. 7
Compound: CaRe3
Source: Alexandria via LeMat-Bulk
Functional: PBEsol
Structure: optimized geometry

Summary:
Energy above the lowest structure with this stoichiometry, eV per atom: 0.0000
Energy of formation, eV per atom: 0.605
Space-group type: P-6m2 (187)

Unit cell a=2.8059 b=2.8059 c=9.6470 alpha=90.00 beta=90.00 gamma=120.00
Closest atoms and distances in Å follow each position.
Element x y z (fractional)
Re: 0.3333 0.6667 0.7235  9 Re 2.70-2.81
Re: 0.3333 0.6667 0.2765  9 Re 2.70-2.81
Re: 0.0000 0.0000 0.5000  12 Re 2.70-2.81
Ca: 0.0000 0.0000 0.0000  6 Ca 2.81, 6 Re 3.12



No. 8
Compound: CaReRh
Source: Alexandria via LeMat-Bulk
Functional: PBEsol
Structure: optimized geometry

Summary:
Energy above the lowest structure with this stoichiometry, eV per atom: 0.2983
Energy of formation, eV per atom: 0.537
Space-group type: P3m1 (156)

Unit cell a=2.8709 b=2.8709 c=7.0814 alpha=90.00 beta=90.00 gamma=120.00
Closest atoms and distances in Å follow each position.
Element x y z (fractional)
Ca: 0.0000 0.0000 0.0048  6 Ca 2.87, 3 Rh 2.99, 3 Re 3.07
Re: 0.3333 0.6667 0.6397  3 Rh 2.61, 6 Re 2.87
Rh: 0.6667 0.3333 0.3555  3 Re 2.61, 6 Rh 2.87



Please write out number 5 again, unchanged.
Compound: Ca3Re
Source: Alexandria via LeMat-Bulk
Functional: PBEsol
Structure: optimized geometry

Summary:
Energy above the lowest structure with this stoichiometry, eV per atom: 0.0000
Energy of formation, eV per atom: 0.773
Space-group type: R-3m (166)

Unit cell a=3.3738 b=3.3738 c=11.2768 alpha=81.40 beta=81.40 gamma=60.00
Closest atoms and distances in Å follow each position.
Element x y z (fractional)
Ca: 0.5000 0.5000 0.5000  6 Ca 3.37
Ca: 0.7325 0.7325 0.8025  3 Re 2.93
Ca: 0.2675 0.2675 0.1975  3 Re 2.93
Re: 0.0000 0.0000 0.0000  6 Ca 2.93